No. 1
PuVTcGe, relaxed, DFT PBE; ρ = 11.7 g cm⁻³; calculated total energy = -38.856 eV/f.u.; size of the total moment = 6.0 μB per cell; D(E_F) = 0.880 states/eV/atom
1.0
-1.3811 4.1137 -1.3075
-4.2346 1.3543 0.8795
-0.7508 3.2272 3.0921
Pu V Ge Tc
1 1 1 1
Cartesian
-4.7749 6.5214 1.9981
-3.1833 4.3476 1.3320
-1.5916 2.1738 0.6660
0.0000 0.0000 0.0000

No. 2
PuZnTcGe2, relaxed, DFT PBE; ρ = 10.0 g cm⁻³; calculated total energy = -36.171 eV/f.u.; size of the total moment = 5.3 μB per cell; D(E_F) = 2.189 states/eV/atom
1.0
-2.5760 0.4029 -3.0776
2.2409 -2.5258 -2.2063
-2.8266 -3.2867 4.5788
Ge Pu Zn Tc
2 1 1 1
Cartesian
-2.3080 -3.3519 1.4931
-0.8536 -2.0578 -2.1981
0.0000 0.0000 0.0000
-2.7850 -1.9727 -0.5704
-0.3766 -3.4370 -0.1347

No. 3
Pu4GeTe3, relaxed, DFT PBE; ρ = 10.0 g cm⁻³; ΔE to the lowest computed polymorph = 0.0000 eV per atom; size of the total moment = 21.9 μB per cell; D(E_F) = 5.482 states/eV/atom
1.0
6.1964 0.0000 0.0000
0.0000 6.1964 0.0000
-3.0982 -3.0982 6.2061
Pu Te Ge
4 3 1
Cartesian
0.0000 0.0000 2.9730
3.0982 3.0982 3.2332
3.0982 0.0000 0.0000
0.0000 3.0982 0.0000
3.0982 3.0982 0.0000
3.0982 0.0000 3.1031
0.0000 3.0982 3.1031
0.0000 0.0000 0.0000